Record 1
The following is a DFT calculation (meta-GGA SCAN) of a PBEsol-optimized structure of InOs2Au.

```
InOs2Au
1.0
2.8501 0.0000 0.0000
0.0000 2.8501 0.0000
0.0000 0.0000 7.9580
Au In Os
1 1 2
Direct
0.0000 0.0000 0.4875
0.5000 0.5000 0.7624
0.0000 0.0000 0.0236
0.5000 0.5000 0.2265
```

Properties
Formation energy (eV/atom): 0.2335
Spin magnetization (μB per atom): 0.00



Record 2
The following is a DFT calculation (meta-GGA SCAN) of a PBEsol-optimized structure of TlPN2F.

```
TlPN2F
1.0
-2.4809 2.4961 -2.4130
-0.1768 -3.0599 -2.9835
-3.4756 -1.6346 1.8824
P Tl N F
1 1 2 1
Direct
0.5000 0.5000 0.5000
0.0000 0.0000 0.0000
0.0000 0.0000 0.5000
0.0000 0.5000 0.0000
0.5000 0.0000 0.0000
```

Properties
Spin magnetization (μB per atom): 0.17
E_form (uncorrected) (eV/atom): 1.542



Record 3
The following is a DFT calculation (meta-GGA SCAN) of a PBEsol-optimized structure of CeMg5.

```
CeMg5
1.0
3.1356 0.0000 0.0000
-1.5678 2.7155 0.0000
0.0000 0.0000 16.0668
Mg Ce
5 1
Direct
0.0000 0.0000 0.1792
0.3333 0.6667 0.3406
0.0000 0.0000 0.5000
0.3333 0.6667 0.6594
0.0000 0.0000 0.8208
0.3333 0.6667 0.0000
```

Properties
Formation energy (eV/atom): -0.0299
Spin magnetization (μB per atom): 0.01



Record 4
The following is a DFT calculation (meta-GGA SCAN) of a PBEsol-optimized structure of NaZn2In2.

```
NaZn2In2
1.0
-2.0953 2.4826 -2.4699
-2.9170 0.3553 2.8318
5.5922 3.7080 2.3545
Na Zn In
1 2 2
Direct
0.0000 0.0000 0.0000
0.2500 0.7500 0.5000
0.7500 0.2500 0.5000
0.3900 0.3900 0.7801
0.6100 0.6100 0.2199
```

Properties
Formation energy (eV/atom): -0.0576
Spin magnetization (μB per atom): 0.00



Record 5
The following is a DFT calculation (meta-GGA SCAN) of a PBEsol-optimized structure of LiAg3.

```
LiAg3
1.0
4.5018 0.0000 0.0000
2.2509 3.8987 0.0000
2.2509 1.2996 3.6757
Ag Li
3 1
Direct
0.2500 0.2500 0.2500
0.5000 0.5000 0.5000
0.7500 0.7500 0.7500
0.0000 0.0000 0.0000
```

Properties
Formation energy (eV/atom): -0.1019
Spin magnetization (μB per atom): 0.00



Record 6
The following is a DFT calculation (meta-GGA SCAN) of a PBEsol-optimized structure of KCdMo2.

```
KCdMo2
1.0
-1.4962 -1.0426 1.9470
2.0007 -4.7241 -0.9923
4.0879 0.9631 3.6572
Cd K Mo
1 1 2
Direct
0.5000 0.0000 0.5000
0.0000 0.5000 0.5000
0.0000 0.0000 0.0000
0.5000 0.5000 0.0000
```

Properties
Formation energy (eV/atom): 1.2107
Spin magnetization (μB per atom): 0.29



Record 7
The following is a DFT calculation (meta-GGA SCAN) of a PBEsol-optimized structure of BiPdF3.

```
BiPdF3
1.0
-1.5896 1.6031 3.8999
-4.1084 0.3488 -1.8180
-0.9487 -4.1970 1.3386
Bi Pd F
1 1 3
Direct
0.0000 0.0000 0.0000
0.5000 0.5000 0.5000
0.0000 0.5000 0.0000
0.0000 0.0000 0.5000
0.5000 0.0000 0.0000
```

Properties
Spin magnetization (μB per atom): 0.03
E_form (uncorrected) (eV/atom): -1.222



Record 8
The following is a DFT calculation (meta-GGA SCAN) of a PBEsol-optimized structure of MnZn2Pb.

```
MnZn2Pb
1.0
3.1588 0.0000 0.0000
0.0000 3.1618 0.0000
0.0000 0.0000 7.0465
Mn Pb Zn
1 1 2
Direct
0.0000 0.0000 0.4460
0.5000 0.5000 0.7361
0.0000 0.0000 0.0596
0.5000 0.5000 0.2583
```

Properties
Formation energy (eV/atom): 0.1348
Spin magnetization (μB per atom): 0.95



Record 9
The following is a DFT calculation (meta-GGA SCAN) of a PBEsol-optimized structure of BaTa2Ru.

```
BaTa2Ru
1.0
3.2646 0.0000 0.0000
0.0000 3.2646 0.0000
0.0000 0.0000 8.1473
Ba Ru Ta
1 1 2
Direct
0.5000 0.5000 0.0000
0.5000 0.5000 0.5000
0.0000 0.0000 0.6666
0.0000 0.0000 0.3334
```

Properties
Formation energy (eV/atom): 0.5373
Spin magnetization (μB per atom): 0.00
E above lowest polymorph (eV per atom): 0.1732



Record 10
The following is a DFT calculation (meta-GGA SCAN) of a PBEsol-optimized structure of Mg2CdAg.

```
Mg2CdAg
1.0
-2.2787 -2.4894 0.7243
3.2993 -2.3278 2.3796
-1.7529 4.6993 2.4119
Mg Ag Cd
2 1 1
Direct
0.9946 0.9946 0.9893
0.7660 0.2660 0.5320
0.5015 0.5015 0.0030
0.2379 0.7379 0.4757
```

Properties
Formation energy (eV/atom): -0.1910
Spin magnetization (μB per atom): 0.00
E above lowest polymorph (eV per atom): 0.0446



Record 11
The following is a DFT calculation (meta-GGA SCAN) of a PBEsol-optimized structure of Ta2CrH2.

```
Ta2CrH2
1.0
-1.2720 2.4912 -1.2267
-1.3647 -1.7359 -2.1103
-3.0867 -0.9801 5.0127
Cr Ta H
1 2 2
Direct
0.0000 0.0000 0.0000
0.3642 0.3642 0.7284
0.6358 0.6358 0.2716
0.2500 0.7500 0.5000
0.7500 0.2500 0.5000
```

Properties
Spin magnetization (μB per atom): 0.00



Record 12
The following is a DFT calculation (meta-GGA SCAN) of a PBEsol-optimized structure of CaGaH2Br.

```
CaGaH2Br
1.0
-0.0854 3.9888 1.1090
0.2618 -1.1018 3.9831
5.8615 0.2160 -0.3255
H Ca Ga Br
2 1 1 1
Direct
0.0000 0.5000 0.0000
0.5000 0.0000 0.0000
0.0000 0.0000 0.5000
0.5000 0.5000 0.5000
0.0000 0.0000 0.0000
```

Properties
Spin magnetization (μB per atom): 0.00



Record 13
The following is a DFT calculation (meta-GGA SCAN) of a PBEsol-optimized structure of CrBr2F.

```
CrBr2F
1.0
-2.7408 3.0150 -0.7077
-2.3692 1.4066 3.0841
3.3524 6.4489 2.4070
Cr Br F
1 2 1
Direct
0.0000 0.0000 0.0000
0.8985 0.8985 0.3044
0.1015 0.1015 0.6956
0.5000 0.5000 0.5000
```

Properties
Spin magnetization (μB per atom): 0.75
E_form (uncorrected) (eV/atom): -0.175



Record 14
The following is a DFT calculation (meta-GGA SCAN) of a PBEsol-optimized structure of BaMn2Os.

```
BaMn2Os
1.0
-3.1441 -2.8574 -2.1027
-3.0362 -2.5227 2.6246
-4.6067 1.1176 0.0260
Ba Mn Os
1 2 1
Direct
0.2500 0.2500 0.2500
0.0000 0.0000 0.0000
0.7500 0.7500 0.7500
0.5000 0.5000 0.5000
```

Properties
Formation energy (eV/atom): 0.9750
Spin magnetization (μB per atom): 2.03



Record 15
The following is a DFT calculation (meta-GGA SCAN) of a PBEsol-optimized structure of Sc2BRu.

```
Sc2BRu
1.0
3.0611 0.0000 0.0000
1.5305 2.6510 0.0000
1.5305 0.8837 7.9140
Sc Ru B
2 1 1
Direct
0.9006 0.9006 0.2981
0.0994 0.0994 0.7019
0.0000 0.0000 0.0000
0.5000 0.5000 0.5000
```

Properties
Formation energy (eV/atom): 0.2539
Spin magnetization (μB per atom): 0.00



Record 16
The following is a DFT calculation (meta-GGA SCAN) of a PBEsol-optimized structure of CrRh3.

```
CrRh3
1.0
-1.4318 2.2039 0.0765
-2.7575 -1.8490 1.6574
2.0604 1.1742 4.7380
Cr Rh
1 3
Direct
0.0000 0.0000 0.0000
0.5000 0.5000 0.7576
0.0000 0.0000 0.5000
0.5000 0.5000 0.2424
```

Properties
Formation energy (eV/atom): -0.0852
Spin magnetization (μB per atom): 0.41



Record 17
The following is a DFT calculation (meta-GGA SCAN) of a PBEsol-optimized structure of Re3RuSe.

```
Re3RuSe
1.0
4.4277 0.0000 0.0000
0.0000 4.4277 0.0000
0.0000 0.0000 4.4277
Re Se Ru
3 1 1
Direct
0.0000 0.5000 0.0000
0.0000 0.0000 0.5000
0.5000 0.0000 0.0000
0.0000 0.0000 0.0000
0.5000 0.5000 0.5000
```

Properties
Spin magnetization (μB per atom): 0.47
E_form (uncorrected) (eV/atom): 2.056



Record 18
The following is a DFT calculation (meta-GGA SCAN) of a PBEsol-optimized structure of Be2Co.

```
Be2Co
1.0
-1.6924 -1.5603 0.5608
0.4939 -1.6239 -3.0275
1.8126 -0.9597 2.8000
Be Co
2 1
Direct
0.4990 0.6667 0.3333
0.5010 0.3333 0.6667
0.0000 0.0000 0.0000
```

Properties
Formation energy (eV/atom): -0.2255
Spin magnetization (μB per atom): 0.00



Record 19
The following is a DFT calculation (meta-GGA SCAN) of a PBEsol-optimized structure of AlCo2Si.

```
AlCo2Si
1.0
2.6918 0.0000 0.0000
0.0000 3.9938 0.0049
-1.3459 -1.1534 4.0889
Si Co Al
1 2 1
Direct
0.4930 0.4300 0.9860
0.9949 0.9371 0.9898
0.7599 0.3204 0.5198
0.2521 0.8124 0.5043
```

Properties
Spin magnetization (μB per atom): 0.00
E_form (uncorrected) (eV/atom): -0.453



Record 20
The following is a DFT calculation (meta-GGA SCAN) of a PBEsol-optimized structure of CsAgN2O.

```
CsAgN2O
1.0
4.3151 0.0000 0.0000
0.0000 4.4509 0.0000
0.0000 0.0000 4.4509
Cs O Ag N
1 1 1 2
Direct
0.0000 0.0000 0.0000
0.5000 0.0000 0.0000
0.5000 0.5000 0.5000
0.0000 0.0000 0.5000
0.0000 0.5000 0.0000
```

Properties
Spin magnetization (μB per atom): 0.39
E_form (uncorrected) (eV/atom): 2.399



Record 21
The following is a DFT calculation (meta-GGA SCAN) of a PBEsol-optimized structure of FeOs2Se.

```
FeOs2Se
1.0
-1.6712 -0.2774 -2.4489
1.9961 -3.6625 -0.9473
-2.9243 -2.1723 2.2418
Fe Os Se
1 2 1
Direct
0.5000 0.5000 0.5000
0.0000 0.5000 0.0000
0.0000 0.0000 0.5000
0.5000 0.0000 0.0000
```

Properties
Spin magnetization (μB per atom): 0.94
E_form (uncorrected) (eV/atom): 0.668



Record 22
The following is a DFT calculation (meta-GGA SCAN) of a PBEsol-optimized structure of Hf3TlBr.

```
Hf3TlBr
1.0
-1.8060 -4.9393 -0.4591
1.1227 0.0689 -5.1579
4.8319 -1.8622 1.0269
Tl Hf Br
1 3 1
Direct
0.0000 0.0000 0.0000
0.0000 0.5000 0.0000
0.0000 0.0000 0.5000
0.5000 0.0000 0.0000
0.5000 0.5000 0.5000
```

Properties
Spin magnetization (μB per atom): 0.00
E_form (uncorrected) (eV/atom): 1.424



Record 23
The following is a DFT calculation (meta-GGA SCAN) of a PBEsol-optimized structure of Mg5Ag4.

```
Mg5Ag4
1.0
4.3793 0.0000 0.0000
2.1896 6.1360 0.0000
2.1896 0.0000 6.1360
Ag Mg
4 5
Direct
0.6662 0.3338 0.3338
0.3338 0.6662 0.6662
0.0000 0.3338 0.6662
0.0000 0.6662 0.3338
0.0000 0.0000 0.0000
0.6722 0.6557 0.0000
0.3278 0.0000 0.3443
0.6722 0.0000 0.6557
0.3278 0.3443 0.0000
```

Properties
Formation energy (eV/atom): -0.1587
Spin magnetization (μB per atom): 0.00
E above lowest polymorph (eV per atom): 0.0629



Record 24
The following is a DFT calculation (meta-GGA SCAN) of a PBEsol-optimized structure of CuH20N6OF2.

```
CuH20N6OF2
1.0
-3.9894 -1.8646 4.7953
6.4271 0.2240 1.0144
-1.4346 16.8667 5.3648
Cu H N O F
3 60 18 3 6
Direct
0.5411 0.5411 0.3333
0.0000 0.4589 0.6667
0.4589 0.0000 0.0000
0.5729 0.2008 0.3946
0.6279 0.4271 0.7280
0.7992 0.3721 0.0613
0.3721 0.7992 0.6054
0.2008 0.5729 0.2720
0.4271 0.6279 0.9387
0.3421 0.0866 0.3352
0.7445 0.6579 0.6685
0.9134 0.2555 0.0018
0.2555 0.9134 0.6648
0.0866 0.3421 0.3315
0.6579 0.7445 0.9982
0.3137 0.1715 0.4223
0.8578 0.6863 0.7556
0.8285 0.1422 0.0890
0.1422 0.8285 0.5777
0.1715 0.3137 0.2444
0.6863 0.8578 0.9110
0.9931 0.7425 0.3309
0.7494 0.0069 0.6642
0.2575 0.2506 0.9975
0.2506 0.2575 0.6691
0.7425 0.9931 0.3358
0.0069 0.7494 0.0025
0.8885 0.5131 0.3900
0.6246 0.1115 0.7234
0.4869 0.3754 0.0567
0.3754 0.4869 0.6100
0.5131 0.8885 0.2766
0.1115 0.6246 0.9433
0.9120 0.7703 0.4190
0.8583 0.0880 0.7523
0.2297 0.1417 0.0856
0.1417 0.2297 0.5810
0.7703 0.9120 0.2477
0.0880 0.8583 0.9144
0.4680 0.6879 0.4971
0.2198 0.5320 0.8304
0.3121 0.7802 0.1637
0.7802 0.3121 0.5029
0.6879 0.4680 0.1696
0.5320 0.2198 0.8363
0.2092 0.5124 0.4542
0.3032 0.7908 0.7876
0.4876 0.6968 0.1209
0.6968 0.4876 0.5458
0.5124 0.2092 0.2124
0.7908 0.3032 0.8791
0.3629 0.7965 0.4334
0.4336 0.6371 0.7667
0.2035 0.5664 0.1000
0.5664 0.2035 0.5666
0.7965 0.3629 0.2333
0.6371 0.4336 0.9000
0.9423 0.0910 0.4653
0.1487 0.0577 0.7986
0.9090 0.8513 0.1319
0.8513 0.9090 0.5347
0.0910 0.9423 0.2014
0.0577 0.1487 0.8681
0.4269 0.2117 0.3773
0.7849 0.5731 0.7106
0.7883 0.2151 0.0440
0.2151 0.7883 0.6227
0.2117 0.4269 0.2894
0.5731 0.7849 0.9560
0.8709 0.6560 0.3735
0.7851 0.1291 0.7068
0.3440 0.2149 0.0401
0.2149 0.3440 0.6265
0.6560 0.8709 0.2932
0.1291 0.7851 0.9599
0.3785 0.6516 0.4466
0.2731 0.6215 0.7799
0.3484 0.7269 0.1132
0.7269 0.3484 0.5534
0.6516 0.3785 0.2201
0.6215 0.2731 0.8868
0.9919 0.0000 0.5000
0.0081 0.0081 0.8333
0.0000 0.9919 0.1667
0.8762 0.2312 0.4094
0.3551 0.1238 0.7428
0.7688 0.6449 0.0761
0.6449 0.7688 0.5906
0.2312 0.8762 0.2572
0.1238 0.3551 0.9239
```

Properties
Spin magnetization (μB per atom): 0.03



Record 25
The following is a DFT calculation (meta-GGA SCAN) of a PBEsol-optimized structure of MgAl2Cd.

```
MgAl2Cd
1.0
-1.6542 2.3201 0.9774
-0.7181 -1.9771 3.4780
5.0107 2.5306 2.4732
Mg Al Cd
1 2 1
Direct
0.0000 0.5000 0.7544
0.5000 0.0000 0.0157
0.0000 0.5000 0.2340
0.5000 0.0000 0.4959
```

Properties
Formation energy (eV/atom): 0.0180
Spin magnetization (μB per atom): 0.00



Short version: uncorrected energy = -61.34; -19.43; -11.60; -19.66; -24.22; -25.92; -25.62; -30.13; -51.35; -18.12; -31.83; -9.95; -15.39; -36.01; -17.43; -30.01; -51.58; -8.90; -13.55; -16.40; -44.82; -54.54; -16.86; -5.75; -12.70 eV per atom, in the order given.